Entry from Alexandria: an optimized crystal structure of HoTh2Mg6 (PBE).

a = 6.2211 Å, b = 6.2211 Å, c = 6.2211 Å
α = 93.96°, β = 93.96°, γ = 93.96°
With the nearest neighbours (Å) after each atom.
Fractional positions:
Ho (0.0000, 0.0000, 0.0000)  2 Th 3.43, 12 Mg 3.45
Th (0.3430, 0.3430, 0.3430)  1 Th 3.14, 1 Ho 3.43, 12 Mg 3.44-3.50
Th (0.6570, 0.6570, 0.6570)  1 Th 3.14, 1 Ho 3.43, 12 Mg 3.44-3.50
Mg (0.1636, 0.5000, 0.8364)  3 Mg 2.98-3.06
Mg (0.1636, 0.8364, 0.5000)  3 Mg 2.98-3.06
Mg (0.5000, 0.1636, 0.8364)  3 Mg 2.98-3.06
Mg (0.5000, 0.8364, 0.1636)  3 Mg 2.98-3.06
Mg (0.8364, 0.1636, 0.5000)  3 Mg 2.98-3.06
Mg (0.8364, 0.5000, 0.1636)  3 Mg 2.98-3.06

Calculated values
formation energy from the elements	0.00	eV per atom
final energy	-0.1183	hartree per atom
V	26.6	Å³/atom
total magnetic moment	0.00	μB/f.u.
crystal system	trigonal